# 1
Below is AlGa2Re2 after structural relaxation, with properties calculated at the PBE-GGA level.

Results
The symmetry is P4/mbm (127). As for the energy above the most stable polymorph in this dataset: 0.0 kJ per mole of atoms. Its crystal system is tetragonal. The energy relative to the elements comes out at 0.1673 eV/atom. As for the density: 11.33 Mg/m³. The value obtained for the magnetization is 0.000 μB/cell.

a b c (Å): 6.737 6.737 3.479
angles (deg): 90.00 90.00 90.00
Sites, in units of the cell vectors:
Al  0.500  0.500  0.000
Al  0.000  0.000  0.000
Ga  0.849  0.349  0.500
Ga  0.349  0.151  0.500
Ga  0.151  0.651  0.500
Ga  0.651  0.849  0.500
Re  0.647  0.147  0.000
Re  0.353  0.853  0.000
Re  0.147  0.353  0.000
Re  0.853  0.647  0.000

# 2
Below is Pr3HoCo after structural relaxation, with properties calculated at the PBE-GGA level.

Results
The symmetry is Pm-3m (221). Its crystal system is cubic. The energy relative to the elements comes out at 0.1296 eV/atom. As for the density: 6.59 Mg/m³. The value obtained for the magnetization is 0.438 μB/cell.

a b c (Å): 5.461 5.461 5.461
angles (deg): 90.00 90.00 90.00
Last column: magnetic moment on the atom in μB.
Sites, in units of the cell vectors:
Ho  0.500  0.500  0.500  0.11
Pr  0.000  0.500  0.000  0.03
Pr  0.000  0.000  0.500  0.03
Pr  0.500  0.000  0.000  0.03
Co  0.000  0.000  0.000  0.06

# 3
Below is SnHg2IBr after structural relaxation, with properties calculated at the PBE-GGA level.

Results
The symmetry is P4/mmm (123). Its crystal system is tetragonal. As for the density: 6.67 Mg/m³. For the uncorrected formation energy, the calculation gives -0.153 eV per atom. The value obtained for the magnetization is 0.000 μB/cell.

a b c (Å): 5.765 5.765 5.446
angles (deg): 90.00 90.00 90.00
Sites, in units of the cell vectors:
Hg  0.000  0.500  0.000
Hg  0.500  0.000  0.000
Sn  0.000  0.000  0.000
I  0.500  0.500  0.500
Br  0.000  0.000  0.500